No. 1
Compound: AgHg
Source: Alexandria
Functional: GGA-PBE
Structure: relaxed

abc: 8.686 8.686 8.686
angles: 90.00 90.00 90.00
Space group I-43m (No. 217)
Asymmetric unit:
Ag 0.115 0.115 0.115 [8 per cell]
Hg 0.204 0.204 0.796 [8 per cell]

Calculated values
The energy of formation is 270 meV/atom. For the total magnetic moment, the calculation gives 0.0 Bohr magnetons per cell. As for the crystal system: cubic.

=====

No. 2
Compound: AgHg
Source: Alexandria
Functional: GGA-PBE
Structure: relaxed

abc: 4.230 4.266 9.057
angles: 90.00 90.00 90.00
Space group Imma (No. 74)
Asymmetric unit:
Ag 0.000 0.250 0.125 [4 per cell]
Hg 0.000 0.250 0.625 [4 per cell]

Calculated values
The energy of formation is 74 meV/atom. For the total magnetic moment, the calculation gives 0.0 Bohr magnetons per cell. As for the crystal system: orthorhombic.

=====

No. 3
Compound: Ag3Hg
Source: Alexandria
Functional: GGA-PBE
Structure: relaxed

abc: 5.390 5.390 5.390
angles: 90.00 90.00 90.00
Space group Pm-3n (No. 223)
Asymmetric unit:
Ag 0.000 0.250 0.500 [6 per cell]
Hg 0.000 0.000 0.000 [2 per cell]

Calculated values
The energy of formation is 125 meV/atom. For the total magnetic moment, the calculation gives 0.0 Bohr magnetons per cell. As for the crystal system: cubic.

=====

No. 4
Compound: AgHg12
Source: Alexandria
Functional: GGA-PBE
Structure: relaxed

abc: 8.779 8.779 8.779
angles: 90.00 90.00 90.00
Space group Im-3 (No. 204)
Asymmetric unit:
Ag 0.000 0.000 0.000 [2 per cell]
Hg 0.000 0.316 0.179 [24 per cell]

Calculated values
The energy of formation is 39 meV/atom. For the total magnetic moment, the calculation gives 0.0 Bohr magnetons per cell. As for the crystal system: cubic.

=====

No. 5
Compound: AgHg
Source: Alexandria
Functional: GGA-PBE
Structure: relaxed

abc: 3.057 12.661 7.144
angles: 90.00 90.00 90.00
Space group Amm2 (No. 38)
Asymmetric unit:
Ag 0.000 0.000 0.000 [2 per cell]
Ag 0.500 0.112 0.286 [4 per cell]
Hg 0.000 0.236 0.003 [4 per cell]
Hg 0.500 0.000 0.650 [2 per cell]

Calculated values
The energy of formation is 73 meV/atom. For the total magnetic moment, the calculation gives 0.0 Bohr magnetons per cell. As for the crystal system: orthorhombic.

=====

No. 6
Compound: AgHg6
Source: Alexandria
Functional: GGA-PBE
Structure: relaxed

abc: 8.927 8.639 9.277
angles: 90.00 90.00 90.00
Space group Cmcm (No. 63)
Asymmetric unit:
Ag 0.000 0.038 0.250 [4 per cell]
Hg 0.000 0.331 0.072 [8 per cell]
Hg 0.180 0.270 0.750 [8 per cell]
Hg 0.198 0.000 0.000 [8 per cell]

Calculated values
The energy of formation is 61 meV/atom. For the total magnetic moment, the calculation gives 0.0 Bohr magnetons per cell. As for the crystal system: orthorhombic.

=====

No. 7
Compound: Ag3Hg
Source: Alexandria
Functional: GGA-PBE
Structure: relaxed

abc: 2.947 4.725 5.559
angles: 90.00 99.79 90.00
Space group P2/m (No. 10)
Asymmetric unit:
Ag 0.000 0.000 0.000 [1 per cell]
Ag 0.259 0.500 0.757 [2 per cell]
Hg 0.500 0.000 0.500 [1 per cell]

Calculated values
The energy of formation is 37 meV/atom. For the total magnetic moment, the calculation gives 0.0 Bohr magnetons per cell. As for the crystal system: monoclinic.

=====

No. 8
Compound: Ag3Hg
Source: Alexandria
Functional: GGA-PBE
Structure: relaxed

abc: 5.971 8.429 3.012
angles: 90.00 90.00 90.00
Space group Cmmm (No. 65)
Asymmetric unit:
Ag 0.000 0.000 0.000 [2 per cell]
Ag 0.250 0.250 0.500 [4 per cell]
Hg 0.000 0.500 0.000 [2 per cell]

Calculated values
The energy of formation is 60 meV/atom. For the total magnetic moment, the calculation gives 0.0 Bohr magnetons per cell. As for the crystal system: orthorhombic.

=====

No. 9
Compound: AgHg
Source: Alexandria
Functional: GGA-PBE
Structure: relaxed

abc: 10.827 3.256 7.326
angles: 90.00 107.94 90.00
Space group Cm (No. 8)
Asymmetric unit:
Ag 0.000 0.000 0.000 [2 per cell]
Ag 0.059 0.000 0.583 [2 per cell]
Ag 0.171 0.500 0.326 [2 per cell]
Hg 0.206 0.500 0.921 [2 per cell]
Hg 0.344 0.000 0.660 [2 per cell]
Hg 0.390 0.000 0.260 [2 per cell]

Calculated values
The energy of formation is 81 meV/atom. For the total magnetic moment, the calculation gives 0.0 Bohr magnetons per cell. As for the crystal system: monoclinic.

=====

No. 10
Compound: AgHg
Source: Alexandria
Functional: GGA-PBE
Structure: relaxed

abc: 6.417 6.417 6.417
angles: 90.00 90.00 90.00
Space group F-43m (No. 216)
Asymmetric unit:
Ag 0.000 0.000 0.000 [4 per cell]
Hg 0.250 0.250 0.250 [4 per cell]

Calculated values
The energy of formation is 427 meV/atom. For the total magnetic moment, the calculation gives 0.0 Bohr magnetons per cell. As for the crystal system: cubic.

=====

No. 11
Compound: AgHg
Source: Alexandria
Functional: GGA-PBE
Structure: relaxed

abc: 6.882 6.882 6.882
angles: 90.00 90.00 90.00
Space group Fd-3m (No. 227, origin choice 2)
Asymmetric unit:
Ag 0.125 0.125 0.125 [8 per cell]
Hg 0.125 0.125 0.625 [8 per cell]

Calculated values
The energy of formation is 123 meV/atom. For the total magnetic moment, the calculation gives 0.0 Bohr magnetons per cell. As for the crystal system: cubic.

=====

No. 12
Compound: Ag3Hg
Source: Alexandria
Functional: GGA-PBE
Structure: relaxed

abc: 3.0449 3.0449 9.6582
angles: 90.00 90.00 120.00
Space group P-6m2 (No. 187)
Asymmetric unit:
Ag 0.0000 0.0000 0.0000 [1 per cell]
Ag 0.6667 0.3333 0.2397 [2 per cell]
Hg 0.0000 0.0000 0.5000 [1 per cell]

Calculated values
The energy of formation is 75 meV/atom. For the total magnetic moment, the calculation gives 0.0 Bohr magnetons per cell. As for the crystal system: hexagonal.

=====

No. 13
Compound: AgHg
Source: Alexandria
Functional: GGA-PBE
Structure: relaxed

abc: 3.088 4.974 5.756
angles: 90.00 103.69 90.00
Space group P2_1/m (No. 11)
Asymmetric unit:
Ag 0.215 0.250 0.411 [2 per cell]
Hg 0.082 0.750 0.134 [2 per cell]

Calculated values
The energy of formation is 97 meV/atom. For the total magnetic moment, the calculation gives 0.0 Bohr magnetons per cell. As for the crystal system: monoclinic.

=====

No. 14
Compound: AgHg
Source: Alexandria
Functional: GGA-PBE
Structure: relaxed

abc: 3.1666 3.1666 14.3052
angles: 90.00 90.00 120.00
Space group R-3m (No. 166, hexagonal axes)
Asymmetric unit:
Ag 0.0000 0.0000 0.0000 [3 per cell]
Hg 0.0000 0.0000 0.5000 [3 per cell]

Calculated values
The energy of formation is 97 meV/atom. For the total magnetic moment, the calculation gives 0.0 Bohr magnetons per cell. As for the crystal system: trigonal.

=====

No. 15
Compound: Ag2Hg3
Source: Alexandria
Functional: GGA-PBE
Structure: relaxed

abc: 3.1573 3.1573 37.5150
angles: 90.00 90.00 120.00
Space group R-3m (No. 166, hexagonal axes)
Asymmetric unit:
Ag 0.0000 0.0000 0.1028 [6 per cell]
Hg 0.0000 0.0000 0.2949 [6 per cell]
Hg 0.0000 0.0000 0.5000 [3 per cell]

Calculated values
The energy of formation is 73 meV/atom. For the total magnetic moment, the calculation gives 0.0 Bohr magnetons per cell. As for the crystal system: trigonal.

=====

No. 16
Compound: AgHg
Source: Alexandria
Functional: GGA-PBE
Structure: relaxed

abc: 3.1603 3.1603 4.7875
angles: 90.00 90.00 120.00
Space group P-6m2 (No. 187)
Asymmetric unit:
Ag 0.0000 0.0000 0.0000 [1 per cell]
Hg 0.3333 0.6667 0.5000 [1 per cell]

Calculated values
The energy of formation is 88 meV/atom. For the total magnetic moment, the calculation gives 0.0 Bohr magnetons per cell. As for the crystal system: hexagonal.

=====

No. 17
Compound: Ag5Hg4
Source: Alexandria
Functional: GGA-PBE
Structure: relaxed

abc: 9.048 9.048 4.435
angles: 90.00 90.00 90.00
Space group I4/mmm (No. 139)
Asymmetric unit:
Ag 0.000 0.000 0.000 [2 per cell]
Ag 0.163 0.163 0.500 [8 per cell]
Hg 0.000 0.321 0.000 [8 per cell]

Calculated values
The energy of formation is 73 meV/atom. For the total magnetic moment, the calculation gives 0.0 Bohr magnetons per cell. As for the crystal system: tetragonal.

=====

No. 18
Compound: Ag3Hg
Source: Alexandria
Functional: GGA-PBE
Structure: relaxed

abc: 5.378 5.378 5.378
angles: 90.00 90.00 90.00
Space group Pm-3m (No. 221)
Asymmetric unit:
Ag 0.000 0.000 0.500 [3 per cell]
Hg 0.000 0.000 0.000 [1 per cell]

Calculated values
The energy of formation is 817 meV/atom. For the total magnetic moment, the calculation gives 0.0 Bohr magnetons per cell. As for the crystal system: cubic.

=====

No. 19
Compound: Ag3Hg
Source: Alexandria
Functional: GGA-PBE
Structure: relaxed

abc: 4.885 6.003 5.144
angles: 90.00 90.00 90.00
Space group Pmmn (No. 59, origin choice 2)
Asymmetric unit:
Ag 0.250 0.000 0.168 [4 per cell]
Ag 0.250 0.250 0.676 [2 per cell]
Hg 0.250 0.750 0.667 [2 per cell]

Calculated values
The energy of formation is 37 meV/atom. For the total magnetic moment, the calculation gives 0.0 Bohr magnetons per cell. As for the crystal system: orthorhombic.

=====

No. 20
Compound: Ag3Hg
Source: Alexandria
Functional: GGA-PBE
Structure: relaxed

abc: 4.172 4.172 17.401
angles: 90.00 90.00 90.00
Space group I4/mmm (No. 139)
Asymmetric unit:
Ag 0.000 0.000 0.124 [4 per cell]
Ag 0.000 0.500 0.000 [4 per cell]
Ag 0.000 0.500 0.250 [4 per cell]
Hg 0.000 0.000 0.374 [4 per cell]

Calculated values
The energy of formation is 43 meV/atom. For the total magnetic moment, the calculation gives 0.0 Bohr magnetons per cell. As for the crystal system: tetragonal.

=====

No. 21
Compound: Ag3Hg
Source: Alexandria
Functional: GGA-PBE
Structure: relaxed

abc: 3.019 9.773 5.144
angles: 90.00 90.00 90.00
Space group Imm2 (No. 44)
Asymmetric unit:
Ag 0.000 0.000 0.000 [2 per cell]
Ag 0.000 0.253 0.662 [4 per cell]
Hg 0.000 0.500 0.003 [2 per cell]

Calculated values
The energy of formation is 48 meV/atom. For the total magnetic moment, the calculation gives 0.0 Bohr magnetons per cell. As for the crystal system: orthorhombic.

=====

No. 22
Compound: AgHg
Source: Alexandria
Functional: GGA-PBE
Structure: relaxed

abc: 3.1776 3.1776 9.6220
angles: 90.00 90.00 120.00
Space group P-3m1 (No. 164)
Asymmetric unit:
Ag 0.3333 0.6667 0.3850 [2 per cell]
Hg 0.3333 0.6667 0.8619 [2 per cell]

Calculated values
The energy of formation is 82 meV/atom. For the total magnetic moment, the calculation gives 0.0 Bohr magnetons per cell. As for the crystal system: trigonal.

=====

No. 23
Compound: AgHg
Source: Alexandria
Functional: GGA-PBE
Structure: relaxed

abc: 3.479 3.479 6.862
angles: 90.00 90.00 90.00
Space group P4/nmm (No. 129, origin choice 2)
Asymmetric unit:
Ag 0.250 0.250 0.110 [2 per cell]
Hg 0.250 0.250 0.645 [2 per cell]

Calculated values
The energy of formation is 90 meV/atom. For the total magnetic moment, the calculation gives 0.0 Bohr magnetons per cell. As for the crystal system: tetragonal.

=====

No. 24
Compound: AgHg
Source: Alexandria
Functional: GGA-PBE
Structure: relaxed

abc: 11.103 3.087 5.236
angles: 90.00 114.14 90.00
Space group C2/m (No. 12)
Asymmetric unit:
Ag 0.135 0.000 0.303 [4 per cell]
Hg 0.117 0.500 0.794 [4 per cell]

Calculated values
The energy of formation is 74 meV/atom. For the total magnetic moment, the calculation gives 0.0 Bohr magnetons per cell. As for the crystal system: monoclinic.

=====

No. 25
Compound: Ho6Ag2Hg
Source: Alexandria
Functional: GGA-PBE
Structure: relaxed

abc: 9.723 9.991 10.080
angles: 90.00 90.00 90.00
Space group Immm (No. 71)
Asymmetric unit:
Ho 0.000 0.220 0.175 [8 per cell]
Ho 0.179 0.229 0.500 [8 per cell]
Ho 0.198 0.500 0.253 [8 per cell]
Ag 0.000 0.000 0.365 [4 per cell]
Ag 0.146 0.000 0.000 [4 per cell]
Hg 0.000 0.500 0.000 [2 per cell]
Hg 0.000 0.500 0.500 [2 per cell]

Calculated values
The energy of formation is -213 meV/atom. For the total magnetic moment, the calculation gives 0.0 Bohr magnetons per cell. As for the crystal system: orthorhombic.

=====

No. 26
Compound: HoAg2Hg
Source: Alexandria
Functional: GGA-PBE
Structure: relaxed

abc: 3.697 3.697 6.478
angles: 90.00 90.00 90.00
Space group P4/mmm (No. 123)
Asymmetric unit:
Ho 0.000 0.000 0.000 [1 per cell]
Ag 0.500 0.500 0.253 [2 per cell]
Hg 0.000 0.000 0.500 [1 per cell]

Calculated values
The energy of formation is -178 meV/atom. For the total magnetic moment, the calculation gives 0.0 Bohr magnetons per cell. As for the crystal system: tetragonal.